Entry 1:
## HoTm4Pt2 (PBE)

Data for a geometry-optimized HoTm4Pt2 structure.

Cell: 6.272 7.712 7.971 Å, 112.48 90.00 90.00°
Positions (direct):
Pt: 0.750 0.752 0.010
Pt: 0.250 0.622 0.585
Pt: 0.250 0.248 0.990
Pt: 0.750 0.378 0.415
Tm: 0.504 0.410 0.768
Tm: 0.496 0.590 0.232
Tm: 0.996 0.410 0.768
Tm: 0.004 0.590 0.232
Tm: 0.750 0.751 0.655
Tm: 0.750 0.017 0.388
Tm: 0.250 0.983 0.612
Tm: 0.250 0.249 0.345
Ho: 0.250 0.847 0.975
Ho: 0.750 0.153 0.025

Results
Magnetization   0.000 Bohr magnetons per cell
Formation energy from the elements   -737 meV per atom
E_tot   -5.672 eV/atom

---

Entry 2:
## Ho2TmPt (PBE)

Data for a geometry-optimized Ho2TmPt structure.

Cell: 3.556 3.556 8.264 Å, 90.00 90.00 90.00°
Positions (direct):
Ho: 0.000 0.000 0.198
Ho: 0.000 0.000 0.802
Tm: 0.500 0.500 0.500
Pt: 0.500 0.500 0.000

Results
Magnetization   0.000 Bohr magnetons per cell
Formation energy from the elements   -590 meV per atom
E_tot   -5.507 eV/atom

---

Entry 3:
## Ho2TmPt (PBE)

Data for a geometry-optimized Ho2TmPt structure.

Cell: 3.750 6.303 9.385 Å, 90.00 90.00 107.32°
Positions (direct):
Ho: 0.864 0.728 0.936
Ho: 0.864 0.728 0.564
Ho: 0.136 0.272 0.064
Ho: 0.136 0.272 0.436
Pt: 0.743 0.486 0.250
Pt: 0.257 0.514 0.750
Tm: 0.572 0.143 0.750
Tm: 0.428 0.857 0.250

Results
Magnetization   0.001 Bohr magnetons per cell
Formation energy from the elements   -692 meV per atom
E_tot   -5.609 eV/atom

---

Entry 4:
## HoTmPt (PBE)

Data for a geometry-optimized HoTmPt structure.

Cell: 6.815 6.814 6.814 Å, 89.96 90.00 90.00°
Positions (direct):
Ho: 0.250 0.000 0.000
Ho: 0.750 0.000 0.500
Ho: 0.250 0.000 0.500
Ho: 0.750 0.000 0.000
Pt: 0.500 0.252 0.750
Pt: 0.500 0.748 0.250
Pt: 0.000 0.252 0.250
Pt: 0.000 0.748 0.750
Tm: 0.250 0.500 0.500
Tm: 0.250 0.500 0.000
Tm: 0.750 0.500 0.000
Tm: 0.750 0.500 0.500

Results
Magnetization   0.000 Bohr magnetons per cell
Formation energy from the elements   -901 meV per atom
E_tot   -5.931 eV/atom

---

Entry 5:
## Ho3Tm3Pt2 (PBE)

Data for a geometry-optimized Ho3Tm3Pt2 structure.

Cell: 3.750 6.798 18.140 Å, 90.00 90.00 106.01°
Positions (direct):
Ho: 0.057 0.114 0.913
Ho: 0.057 0.114 0.587
Ho: 0.712 0.425 0.250
Ho: 0.288 0.575 0.750
Ho: 0.943 0.886 0.413
Ho: 0.943 0.886 0.087
Tm: 0.330 0.660 0.944
Tm: 0.330 0.660 0.556
Tm: 0.670 0.340 0.444
Tm: 0.436 0.873 0.250
Tm: 0.564 0.127 0.750
Tm: 0.670 0.340 0.056
Pt: 0.710 0.420 0.635
Pt: 0.290 0.580 0.365
Pt: 0.710 0.420 0.865
Pt: 0.290 0.580 0.135

Results
Magnetization   0.001 Bohr magnetons per cell
Formation energy from the elements   -621 meV per atom
E_tot   -5.525 eV/atom

---

Entry 6:
## Ho2TmPt3 (PBE)

Data for a geometry-optimized Ho2TmPt3 structure.

Cell: 4.046 5.718 6.990 Å, 114.14 106.82 90.00°
Positions (direct):
Pt: 0.335 0.335 0.670
Pt: 0.000 0.000 0.000
Pt: 0.665 0.665 0.330
Ho: 0.667 0.167 0.334
Ho: 0.333 0.833 0.666
Tm: 0.000 0.500 0.000

Results
Magnetization   0.000 Bohr magnetons per cell
Formation energy from the elements   -1141 meV per atom
E_tot   -6.433 eV/atom

---

Entry 7:
## HoTmPt2 (PBE)

Data for a geometry-optimized HoTmPt2 structure.

Cell: 4.900 4.900 4.900 Å, 60.00 60.00 60.00°
Positions (direct):
Tm: 0.500 0.500 0.500
Pt: 0.250 0.250 0.250
Pt: 0.750 0.750 0.750
Ho: 0.000 0.000 0.000

Results
Magnetization   0.000 Bohr magnetons per cell
Formation energy from the elements   -1267 meV per atom
E_tot   -6.549 eV/atom

---

Entry 8:
## HoTm2Pt3 (PBE)

Data for a geometry-optimized HoTm2Pt3 structure.

Cell: 3.434 4.905 14.723 Å, 90.00 90.00 90.00°
Positions (direct):
Pt: 0.500 0.000 0.169
Pt: 0.500 0.500 0.331
Pt: 0.500 0.000 0.831
Pt: 0.499 0.500 0.000
Pt: 0.500 0.500 0.669
Pt: 0.501 0.000 0.500
Tm: 0.000 0.500 0.167
Tm: 0.000 0.000 0.667
Tm: 0.000 0.000 0.333
Tm: 0.000 0.500 0.833
Ho: 0.999 0.000 0.000
Ho: 0.001 0.500 0.500

Results
Magnetization   0.000 Bohr magnetons per cell
Formation energy from the elements   -1272 meV per atom
E_tot   -6.546 eV/atom

---

Entry 9:
## Ho2TmPt (PBE)

Data for a geometry-optimized Ho2TmPt structure.

Cell: 3.670 3.670 10.661 Å, 80.09 80.09 60.00°
Positions (direct):
Ho: 0.891 0.891 0.327
Ho: 0.109 0.109 0.673
Tm: 0.000 0.000 0.000
Pt: 0.500 0.500 0.500

Results
Magnetization   0.000 Bohr magnetons per cell
Formation energy from the elements   -288 meV per atom
E_tot   -5.205 eV/atom

---

Entry 10:
## HoTm4Pt2 (PBE)

Data for a geometry-optimized HoTm4Pt2 structure.

Cell: 4.697 4.697 10.534 Å, 77.12 77.12 60.00°
Positions (direct):
Tm: 0.098 0.098 0.705
Tm: 0.700 0.700 0.901
Tm: 0.300 0.300 0.099
Tm: 0.902 0.902 0.295
Ho: 0.500 0.500 0.500
Pt: 0.601 0.601 0.197
Pt: 0.399 0.399 0.803

Results
Magnetization   0.000 Bohr magnetons per cell
Formation energy from the elements   -647 meV per atom
E_tot   -5.582 eV/atom

---

Entry 11:
## Ho2TmPt3 (PBE)

Data for a geometry-optimized Ho2TmPt3 structure.

Cell: 3.439 4.923 14.778 Å, 90.00 90.00 90.00°
Positions (direct):
Ho: 0.000 0.000 0.667
Ho: 0.000 0.500 0.167
Ho: 0.000 0.500 0.833
Ho: 0.000 0.000 0.333
Pt: 0.500 0.000 0.164
Pt: 0.500 0.000 0.836
Pt: 0.500 0.500 0.336
Pt: 0.500 0.000 0.500
Pt: 0.500 0.500 0.664
Pt: 0.500 0.500 0.000
Tm: 0.000 0.500 0.500
Tm: 0.000 0.000 0.000

Results
Magnetization   0.000 Bohr magnetons per cell
Formation energy from the elements   -1259 meV per atom
E_tot   -6.550 eV/atom

---

Entry 12:
## Ho3Tm2Pt2 (PBE)

Data for a geometry-optimized Ho3Tm2Pt2 structure.

Cell: 3.727 6.365 8.955 Å, 114.88 90.00 107.02°
Positions (direct):
Ho: 0.614 0.229 0.435
Ho: 0.386 0.771 0.565
Ho: 0.500 0.000 0.000
Tm: 0.835 0.671 0.187
Tm: 0.165 0.329 0.813
Pt: 0.176 0.353 0.237
Pt: 0.824 0.647 0.763

Results
Magnetization   0.004 Bohr magnetons per cell
Formation energy from the elements   -808 meV per atom
E_tot   -5.773 eV/atom

---

Q: Among the records above, which one has the highest formation energy from the elements?
A: number 9

---

Q: The lowest formation energy from the elements belongs to which entry?
A: HoTm2Pt3